Entry from Alexandria via LeMat-Bulk: WF after structural relaxation (PBE+U).

Its total energy is -65.4 eV for the cell shown. For the excess energy over the best structure of this formula in the dataset, the calculation gives 0.00 kcal/mol of atoms. The density of states at the Fermi level comes out at 0.67 states/eV per cell.

```
data_WF
_cell_length_a 3.339
_cell_length_b 9.097
_cell_length_c 7.125
_cell_angle_alpha 90.00
_cell_angle_beta 90.00
_cell_angle_gamma 90.00
_symmetry_space_group_name_H-M 'P m m n'
_symmetry_Int_Tables_number 59
loop_
_symmetry_equiv_pos_as_xyz
'x,y,z'
'-x,-y,-z'
'-x+1/2,-y+1/2,z'
'x+1/2,y+1/2,-z'
'x+1/2,-y,-z'
'-x+1/2,y,z'
'-x,y+1/2,-z'
'x,-y+1/2,z'
loop_
_atom_site_label
_atom_site_fract_x
_atom_site_fract_y
_atom_site_fract_z
_atom_site_occupancy
W1 0.250 0.089 0.142 1
W2 0.250 0.750 0.100 1
F1 0.250 0.250 0.359 1
F2 0.250 0.596 0.326 1
```